No. 1
## Rb2ReN (GGA-PBE)

Data for Rb2ReN after structural relaxation.

For the density of states at the Fermi level, the calculation gives 3.38 states/eV/f.u. The value obtained for the total magnetic moment is 3.82 Bohr magnetons per cell. The value obtained for the uncorrected formation energy is 519 meV per atom.

It has space group I-42d (No. 122), with a = 12.301 Å, b = 12.301 Å, c = 3.843 Å, α = 90.00°, β = 90.00° and γ = 90.00°. The distinct sites, in fractional coordinates, are Rb at (0.035, 0.250, 0.125), Re at (0.000, 0.000, 0.500) and N at (0.000, 0.000, 0.000).



No. 2
## AcPr5NdSm2 (GGA-PBE)

Data for AcPr5NdSm2 after structural relaxation.

For the density of states at the Fermi level, the calculation gives 13.36 states/eV/f.u. The value obtained for the total magnetic moment is 0.00 Bohr magnetons per cell. Its formation energy is 263.3 meV/atom.

It has space group I4/mcm (No. 140), with a = 9.333 Å, b = 9.333 Å, c = 15.383 Å, α = 90.00°, β = 90.00° and γ = 90.00°. The distinct sites, in fractional coordinates, are Ac at (0.000, 0.500, 0.250), Pr at (0.000, 0.000, 0.000), Pr at (0.209, 0.291, 0.130), Nd at (0.000, 0.000, 0.250) and Sm at (0.111, 0.389, 0.500).



No. 3
## As7C (GGA-PBE)

Data for As7C after structural relaxation.

For the density of states at the Fermi level, the calculation gives 5.46 states/eV/f.u. The value obtained for the total magnetic moment is 0.00 Bohr magnetons per cell. Its formation energy is 1121.6 meV/atom.

It has space group Fm-3m (No. 225), with a = 8.311 Å, b = 8.311 Å, c = 8.311 Å, α = 90.00°, β = 90.00° and γ = 90.00°. The distinct sites, in fractional coordinates, are As at (0.000, 0.000, 0.000), As at (0.000, 0.250, 0.250) and C at (0.000, 0.000, 0.500).



No. 4
## HfScU (GGA-PBE)

Data for HfScU after structural relaxation.

The value obtained for the energy above the most stable polymorph in this dataset is 0.42 eV/f.u. For the density of states at the Fermi level, the calculation gives 4.84 states/eV/f.u. The value obtained for the total magnetic moment is 2.11 Bohr magnetons per cell. Its formation energy is 257.0 meV/atom.

It has space group P-6m2 (No. 187), with a = 5.0784 Å, b = 5.0784 Å, c = 3.0212 Å, α = 90.00°, β = 90.00° and γ = 120.00°. The distinct sites, in fractional coordinates, are Hf at (0.0000, 0.0000, 0.0000), Sc at (0.6667, 0.3333, 0.5000) and U at (0.3333, 0.6667, 0.0000).